Material: Nb2CuNiI
Method: DFT, GGA-PBEsol
State: relaxed

Its raw total energy is -27.343 eV per cell. Its density of states at the Fermi level is 4.8 states/eV/f.u. As for the raw formation energy: 126.5 kJ/mol of atoms.

The space group is P4/mmm (No. 123) and the conventional cell measures 4.5857, 4.5857 and 4.9558 Å, with angles of 90.00, 90.00 and 90.00 degrees. The inequivalent atoms are Nb at (0.0000, 0.5000, 0.0000), Cu at (0.0000, 0.0000, 0.5000), Ni at (0.5000, 0.5000, 0.0000) and I at (0.5000, 0.5000, 0.5000).


Material: NbCuIO2
Method: DFT, GGA-PBEsol
State: relaxed

Its raw total energy is -32.528 eV per cell. Its density of states at the Fermi level is 2.6 states/eV/f.u. As for the raw formation energy: -98.5 kJ/mol of atoms.

The space group is P4/mmm (No. 123) and the conventional cell measures 3.8965, 3.8965 and 5.9468 Å, with angles of 90.00, 90.00 and 90.00 degrees. The inequivalent atoms are Nb at (0.0000, 0.0000, 0.0000), Cu at (0.5000, 0.5000, 0.5000), I at (0.0000, 0.0000, 0.5000) and O at (0.0000, 0.5000, 0.0000).


Material: NbCuOsI2
Method: DFT, GGA-PBEsol
State: relaxed

Its raw total energy is -21.193 eV per cell. Its density of states at the Fermi level is 6.0 states/eV/f.u. As for the raw formation energy: 187.4 kJ/mol of atoms.

The space group is P4/mmm (No. 123) and the conventional cell measures 5.3097, 5.3097 and 4.7821 Å, with angles of 90.00, 90.00 and 90.00 degrees. The inequivalent atoms are Nb at (0.0000, 0.0000, 0.0000), Cu at (0.0000, 0.0000, 0.5000), Os at (0.5000, 0.5000, 0.5000) and I at (0.0000, 0.5000, 0.0000).


Material: Nb2CuPbI
Method: DFT, GGA-PBEsol
State: relaxed

Its raw total energy is -22.152 eV per cell. Its density of states at the Fermi level is 5.2 states/eV/f.u. As for the raw formation energy: 185.1 kJ/mol of atoms.

The space group is P4/mmm (No. 123) and the conventional cell measures 4.9872, 4.9872 and 5.8184 Å, with angles of 90.00, 90.00 and 90.00 degrees. The inequivalent atoms are Nb at (0.0000, 0.5000, 0.0000), Cu at (0.0000, 0.0000, 0.5000), Pb at (0.5000, 0.5000, 0.5000) and I at (0.5000, 0.5000, 0.0000).


Material: NbCuRh2I
Method: DFT, GGA-PBEsol
State: relaxed

Its raw total energy is -25.911 eV per cell. Its density of states at the Fermi level is 5.0 states/eV/f.u. As for the raw formation energy: 140.6 kJ/mol of atoms.

The space group is P4/mmm (No. 123) and the conventional cell measures 4.7527, 4.7527 and 4.5463 Å, with angles of 90.00, 90.00 and 90.00 degrees. The inequivalent atoms are Nb at (0.0000, 0.0000, 0.0000), Cu at (0.5000, 0.5000, 0.0000), Rh at (0.0000, 0.5000, 0.5000) and I at (0.5000, 0.5000, 0.5000).


Material: Rb2NdCuI6
Method: DFT, GGA-PBEsol
State: relaxed

Its raw total energy is -132.500 eV per cell. Its density of states at the Fermi level is 0.0 states/eV/f.u. As for the raw formation energy: -105.9 kJ/mol of atoms.

The space group is Fm-3m (No. 225) and the conventional cell measures 11.7047, 11.7047 and 11.7047 Å, with angles of 90.00, 90.00 and 90.00 degrees. The inequivalent atoms are Rb at (0.2500, 0.2500, 0.2500), Nd at (0.0000, 0.0000, 0.0000), Cu at (0.0000, 0.0000, 0.5000) and I at (0.0000, 0.0000, 0.2614).